# Cr4ReTc, single point on PBEsol structure, DFT SCAN
data_Cr4ReTc
_chemical_formula_sum 'Cr16 Re4 Tc4'
_cell_length_a 6.635
_cell_length_b 6.635
_cell_length_c 6.635
_cell_angle_alpha 90.00
_cell_angle_beta 90.00
_cell_angle_gamma 90.00
_symmetry_space_group_name_H-M 'F -4 3 m'
_symmetry_Int_Tables_number 216
_symmetry_space_group_name_Hall 'F -4 2 3'
loop_
_atom_site_label
_atom_site_fract_x
_atom_site_fract_y
_atom_site_fract_z
Cr1 0.125 0.125 0.125
Re1 0.000 0.000 0.500
Tc1 0.250 0.250 0.750
# N(E_F) = 1.089 states/eV/atom
# E_tot = -29.91 eV/atom

=====

# CrRe2Tc, single point on PBEsol structure, DFT SCAN
data_CrRe2Tc
_chemical_formula_sum 'Cr2 Re4 Tc2'
_cell_length_a 2.974
_cell_length_b 4.306
_cell_length_c 8.549
_cell_angle_alpha 90.00
_cell_angle_beta 90.00
_cell_angle_gamma 90.00
_symmetry_space_group_name_H-M 'I m m 2'
_symmetry_Int_Tables_number 44
_symmetry_space_group_name_Hall 'I 2 -2'
loop_
_atom_site_label
_atom_site_fract_x
_atom_site_fract_y
_atom_site_fract_z
Cr1 0.000 0.000 0.000
Re1 0.000 0.000 0.494
Re2 0.000 0.500 0.728
Tc1 0.000 0.500 0.264
# N(E_F) = 0.750 states/eV/atom
# Energy above the lowest structure with this stoichiometry = 0.000 eV per atom
# E_tot = -48.85 eV/atom

=====

> What is the E_tot in the second record?

-48.85 eV/atom

=====

Please write out number 1 again, unchanged.
# Cr4ReTc, single point on PBEsol structure, DFT SCAN
data_Cr4ReTc
_chemical_formula_sum 'Cr16 Re4 Tc4'
_cell_length_a 6.635
_cell_length_b 6.635
_cell_length_c 6.635
_cell_angle_alpha 90.00
_cell_angle_beta 90.00
_cell_angle_gamma 90.00
_symmetry_space_group_name_H-M 'F -4 3 m'
_symmetry_Int_Tables_number 216
_symmetry_space_group_name_Hall 'F -4 2 3'
loop_
_atom_site_label
_atom_site_fract_x
_atom_site_fract_y
_atom_site_fract_z
Cr1 0.125 0.125 0.125
Re1 0.000 0.000 0.500
Tc1 0.250 0.250 0.750
# N(E_F) = 1.089 states/eV/atom
# E_tot = -29.91 eV/atom

=====

Copy entry 1 word for word.
# Cr4ReTc, single point on PBEsol structure, DFT SCAN
data_Cr4ReTc
_chemical_formula_sum 'Cr16 Re4 Tc4'
_cell_length_a 6.635
_cell_length_b 6.635
_cell_length_c 6.635
_cell_angle_alpha 90.00
_cell_angle_beta 90.00
_cell_angle_gamma 90.00
_symmetry_space_group_name_H-M 'F -4 3 m'
_symmetry_Int_Tables_number 216
_symmetry_space_group_name_Hall 'F -4 2 3'
loop_
_atom_site_label
_atom_site_fract_x
_atom_site_fract_y
_atom_site_fract_z
Cr1 0.125 0.125 0.125
Re1 0.000 0.000 0.500
Tc1 0.250 0.250 0.750
# N(E_F) = 1.089 states/eV/atom
# E_tot = -29.91 eV/atom